[1]
Compound: CrCdIn2
Source: the Alexandria database
Functional: PBE
Structure: relaxed

abc: 3.810 3.810 6.022
angles: 90.00 90.00 90.00
Space group P4mm (No. 99)
Inequivalent atoms, fractional coordinates:
Cr 0.000 0.000 0.000
Cd 0.500 0.500 0.753
In 0.000 0.000 0.501
In 0.500 0.500 0.226

Properties
DOS(E_F): 0.55 states/eV/atom
V: 87 Å³ per cell
formation energy: 284.7 meV/atom
E: -3.7192 eV per atom

=====

[2]
Compound: U2Ga8Ir
Source: the Alexandria database
Functional: PBE
Structure: relaxed

abc: 4.314 4.314 11.066
angles: 90.00 90.00 90.00
Space group P4/mmm (No. 123)
Inequivalent atoms, fractional coordinates:
U 0.000 0.000 0.191
Ga 0.000 0.500 0.000
Ga 0.000 0.500 0.375
Ga 0.500 0.500 0.192
Ir 0.000 0.000 0.500

Properties
DOS(E_F): 0.92 states/eV/atom
V: 206 Å³ per cell
formation energy: -354.5 meV/atom
E: -5.4138 eV per atom

=====

[3]
Compound: Tm3ZnIn2
Source: the Alexandria database
Functional: PBE
Structure: relaxed

abc: 3.588 3.588 11.357
angles: 90.00 90.00 90.00
Space group P4/mmm (No. 123)
Inequivalent atoms, fractional coordinates:
Tm 0.000 0.000 0.000
Tm 0.000 0.000 0.351
Zn 0.500 0.500 0.500
In 0.500 0.500 0.177

Properties
DOS(E_F): 0.70 states/eV/atom
V: 146 Å³ per cell
formation energy: -414.3 meV/atom
E: -3.7752 eV per atom

=====

[4]
Compound: Zr2TiSb
Source: the Alexandria database
Functional: PBE
Structure: relaxed

abc: 7.879 7.879 5.851
angles: 90.00 90.00 90.00
Space group I-42d (No. 122)
Inequivalent atoms, fractional coordinates:
Zr 0.249 0.250 0.125
Ti 0.000 0.000 0.000
Sb 0.000 0.000 0.500

Properties
DOS(E_F): 1.02 states/eV/atom
V: 363 Å³ per cell
formation energy without anion corrections: 143 meV per atom
E: -7.1356 eV per atom

=====

[5]
Compound: Tb4Sm2YHo2
Source: the Alexandria database
Functional: PBE
Structure: relaxed

abc: 18.703 3.603 9.574
angles: 90.00 115.72 90.00
Space group C2/m (No. 12)
Inequivalent atoms, fractional coordinates:
Tb 0.019 0.000 0.332
Tb 0.185 0.500 0.332
Sm 0.148 0.500 0.667
Y 0.000 0.500 0.000
Ho 0.167 0.000 0.001

Properties
DOS(E_F): 1.31 states/eV/atom
V: 581 Å³ per cell
formation energy: 8.8 meV/atom
E: -4.8333 eV per atom

=====

[6]
Compound: Nd2SmPt2
Source: the Alexandria database
Functional: PBE
Structure: relaxed

abc: 7.954 7.954 4.078
angles: 90.00 90.00 90.00
Space group P4/mbm (No. 127)
Inequivalent atoms, fractional coordinates:
Nd 0.164 0.336 0.000
Sm 0.000 0.000 0.500
Pt 0.135 0.635 0.500

Properties
DOS(E_F): 0.81 states/eV/atom
V: 258 Å³ per cell
formation energy: -938.4 meV/atom
E: -6.2057 eV per atom

=====

[7]
Compound: Nd7Dy4Ho
Source: the Alexandria database
Functional: PBE
Structure: relaxed

abc: 16.223 6.010 9.418
angles: 90.00 116.13 90.00
Space group C2/m (No. 12)
Inequivalent atoms, fractional coordinates:
Nd 0.000 0.000 0.000
Nd 0.084 0.500 0.444
Nd 0.209 0.500 0.232
Nd 0.210 0.500 0.881
Dy 0.072 0.000 0.697
Dy 0.172 0.000 0.388
Ho 0.000 0.500 0.000

Properties
polymorph energy (0 for the lowest one): 208.1 meV/atom
DOS(E_F): 1.61 states/eV/atom
V: 824 Å³ per cell
formation energy: 216.1 meV/atom
E: -4.4806 eV per atom

=====

[8]
Compound: CdH2Rh2
Source: the Alexandria database
Functional: PBE
Structure: relaxed

abc: 5.122 8.601 9.825
angles: 90.00 90.00 90.00
Space group Fddd (No. 70, origin choice 2)
Inequivalent atoms, fractional coordinates:
Cd 0.125 0.125 0.125
H 0.125 0.125 0.496
Rh 0.125 0.291 0.625

Properties
polymorph energy (0 for the lowest one): 25.1 meV/atom
DOS(E_F): 0.82 states/eV/atom
V: 433 Å³ per cell
E: -4.5097 eV per atom